The following is a DFT calculation (PBE) of RbAg2I2Cl after structural relaxation.

Cell lengths 9.027, 5.849, 9.035 Å; angles 90.00, 105.67, 90.00 degrees
Space group P2_1/m (No. 11)
Inequivalent atoms, fractional coordinates:
1 Rb 0.237 0.250 0.264 x2
2 Ag 0.319 0.000 0.820 x4
3 I 0.062 0.250 0.843 x2
4 I 0.342 0.750 0.562 x2
5 Cl 0.407 0.750 0.094 x2

Energy relative to the elements, uncorrected   -71.7 kJ per mole of atoms
Fermi-level density of states   0.0 states/eV/cell